Nb2CoIrN PBE relaxed; energy relative to the elements, uncorrected = -0.51 eV/atom; M_tot = 0.9 μB/cell; final energy = -9.401 eV/atom
1.0
4.2309 0.0000 0.0000
0.0000 4.2309 0.0000
0.0000 0.0000 3.7937
Nb Ir Co N
2 1 1 1
Direct
0.0000 0.5000 0.0000
0.5000 0.0000 0.0000
0.5000 0.5000 0.5000
0.0000 0.0000 0.5000
0.0000 0.0000 0.0000

=====

Co2NiIrN PBE relaxed; energy relative to the elements, uncorrected = 0.19 eV/atom; M_tot = 3.6 μB/cell; final energy = -7.245 eV/atom
1.0
3.7599 0.0000 0.0000
0.0000 3.7599 0.0000
0.0000 0.0000 3.8283
Ni Ir Co N
1 1 2 1
Direct
0.0000 0.0000 0.5000
0.5000 0.5000 0.5000
0.0000 0.5000 0.0000
0.5000 0.0000 0.0000
0.0000 0.0000 0.0000